A relaxed structure of NbTeI2O, computed with PBE-GGA.

- total energy (eV per cell) = -18.1
- energy above the lowest structure with this stoichiometry (eV/atom) = 1.047
- ΔE_f (raw) (meV/atom) = 630

Cell lengths 5.502, 5.502, 5.367 Å; angles 90.00, 90.00, 90.00 degrees
Atoms (fractional coordinates):
I: 0.000 0.500 0.000
I: 0.500 0.000 0.000
Nb: 0.000 0.000 0.000
Te: 0.000 0.000 0.500
O: 0.500 0.500 0.500

A relaxed structure of Ni2RhW, computed with PBE-GGA.

- total energy (eV per cell) = -31.8
- energy above the lowest structure with this stoichiometry (eV/atom) = 0.173
- formation energy from the elements (eV per atom) = 0.02

Cell lengths 4.541, 4.541, 4.584 Å; angles 79.74, 79.74, 34.68 degrees
Atoms (fractional coordinates):
Ni: 0.001 0.001 0.007
Ni: 0.499 0.499 0.493
Rh: 0.750 0.750 0.750
W: 0.250 0.250 0.250

A relaxed structure of Rb3Tl3SbO8, computed with PBE-GGA.

- total energy (eV per cell) = -70.6
- ΔE_f (raw) (meV/atom) = -1121

Cell lengths 6.972, 6.979, 7.781 Å; angles 116.63, 90.00, 119.96 degrees
Atoms (fractional coordinates):
Rb: 0.000 0.000 0.000
Rb: 0.000 0.500 0.000
Rb: 0.500 0.500 0.000
Tl: 0.500 0.000 0.500
Tl: 0.500 0.500 0.500
Tl: 0.000 0.500 0.500
Sb: 0.000 0.000 0.500
O: 0.276 0.552 0.329
O: 0.724 0.448 0.671
O: 0.800 0.600 0.330
O: 0.200 0.400 0.670
O: 0.800 0.029 0.329
O: 0.200 0.971 0.671
O: 0.229 0.029 0.329
O: 0.771 0.971 0.671

A relaxed structure of Hg2OsRh, computed with PBE-GGA.

- total energy (eV per cell) = -16.7
- energy above the lowest structure with this stoichiometry (eV/atom) = 0.288
- formation energy from the elements (eV per atom) = 0.63

Cell lengths 9.393, 9.393, 9.393 Å; angles 18.02, 18.02, 18.02 degrees
Site moments in Bohr magnetons follow the coordinates.
Atoms (fractional coordinates):
Hg: 0.748 0.748 0.748  0.00
Hg: 0.252 0.252 0.252  0.00
Os: 0.500 0.500 0.500  -0.01
Rh: 0.000 0.000 0.000  -0.17

A relaxed structure of BeSiSb, computed with PBE-GGA.

- total energy (eV per cell) = -12.0
- energy above the lowest structure with this stoichiometry (eV/atom) = 0.226
- ΔE_f (raw) (meV/atom) = 415

Cell lengths 6.215, 6.215, 6.215 Å; angles 147.79, 152.88, 42.60 degrees
Atoms (fractional coordinates):
Sb: 0.329 0.329 0.000
Si: 0.559 0.559 0.000
Be: 0.112 0.112 0.000

A relaxed structure of Tb6DyTm2Th, computed with PBE-GGA.

- total energy (eV per cell) = -94.5
- formation energy from the elements (eV per atom) = 0.15

Cell lengths 9.307, 8.780, 8.780 Å; angles 116.08, 92.64, 92.64 degrees
Atoms (fractional coordinates):
Tb: 0.059 0.116 0.768
Tb: 0.441 0.232 0.884
Tb: 0.941 0.884 0.232
Tb: 0.559 0.768 0.116
Tb: 0.314 0.991 0.433
Tb: 0.186 0.567 0.009
Tb: 0.686 0.009 0.567
Tb: 0.814 0.433 0.991
Tb: 0.112 0.710 0.480
Tb: 0.388 0.520 0.290
Tb: 0.888 0.290 0.520
Tb: 0.612 0.480 0.710
Dy: 0.250 0.412 0.588
Dy: 0.750 0.588 0.412
Tm: 0.446 0.798 0.696
Tm: 0.054 0.304 0.202
Tm: 0.554 0.202 0.304
Tm: 0.946 0.696 0.798
Th: 0.250 0.965 0.035
Th: 0.750 0.035 0.965

A relaxed structure of BSeBr2F, computed with PBE-GGA.

- total energy (eV per cell) = -10.6
- energy above the lowest structure with this stoichiometry (eV/atom) = 0.443
- ΔE_f (raw) (meV/atom) = 961

Cell lengths 5.692, 5.692, 3.875 Å; angles 90.00, 90.00, 90.00 degrees
Site moments in Bohr magnetons follow the coordinates.
Atoms (fractional coordinates):
B: 0.500 0.500 0.500  -0.01
Se: 0.000 0.000 0.500  0.52
Br: 0.000 0.500 0.000  0.11
Br: 0.500 0.000 0.000  0.11
F: 0.000 0.000 0.000  0.04

A relaxed structure of Sn2TePd4, computed with PBE-GGA.

- total energy (eV per cell) = -69.6
- energy above the lowest structure with this stoichiometry (eV/atom) = 0.000
- ΔE_f (raw) (meV/atom) = -408

Cell lengths 8.381, 7.055, 6.837 Å; angles 118.69, 117.84, 98.33 degrees
Atoms (fractional coordinates):
Sn: 0.597 0.428 0.640
Sn: 0.571 0.834 0.262
Sn: 0.843 0.436 0.368
Sn: 0.077 0.209 0.719
Te: 0.267 0.840 0.530
Te: 0.036 0.067 0.117
Pd: 0.641 0.915 0.929
Pd: 0.372 0.518 0.288
Pd: 0.050 0.632 0.921
Pd: 0.800 0.218 0.837
Pd: 0.371 0.048 0.075
Pd: 0.493 0.339 0.931
Pd: 0.262 0.519 0.656
Pd: 0.871 0.747 0.226

A relaxed structure of YZrIn2, computed with PBE-GGA.

- total energy (eV per cell) = -20.9
- formation energy from the elements (eV per atom) = -0.10

Cell lengths 3.294, 3.294, 9.449 Å; angles 90.00, 90.00, 96.50 degrees
Atoms (fractional coordinates):
In: 0.000 0.000 0.995
In: 0.500 0.500 0.240
Y: 0.000 0.000 0.505
Zr: 0.500 0.500 0.760

A relaxed structure of PaPdRh2O8, computed with PBE-GGA.

- total energy (eV per cell) = -82.8
- ΔE_f (raw) (meV/atom) = -1142

Cell lengths 5.133, 5.133, 6.243 Å; angles 114.27, 114.27, 90.00 degrees
Atoms (fractional coordinates):
Pa: 0.000 0.000 0.000
Pd: 0.750 0.250 0.500
Rh: 0.500 0.500 0.000
Rh: 0.250 0.750 0.500
O: 0.872 0.860 0.254
O: 0.382 0.394 0.254
O: 0.606 0.618 0.745
O: 0.140 0.127 0.745
O: 0.873 0.394 0.255
O: 0.382 0.860 0.255
O: 0.140 0.618 0.746
O: 0.606 0.128 0.746

A relaxed structure of Na2MgSnTe4, computed with PBE-GGA.

- total energy (eV per cell) = -25.6
- ΔE_f (raw) (meV/atom) = -605

Cell lengths 4.212, 7.472, 8.061 Å; angles 106.95, 90.00, 90.00 degrees
Atoms (fractional coordinates):
Na: 0.500 0.000 0.500
Na: 0.000 0.500 0.500
Mg: 0.500 0.500 0.000
Sn: 0.000 0.000 0.000
Te: 0.500 0.248 0.222
Te: 0.500 0.752 0.778
Te: 0.000 0.259 0.780
Te: 0.000 0.741 0.220

A relaxed structure of CrTeN3, computed with PBE-GGA.

- total energy (eV per cell) = -32.7
- ΔE_f (raw) (meV/atom) = 1002

Cell lengths 3.794, 3.794, 3.794 Å; angles 90.00, 90.00, 90.00 degrees
Atoms (fractional coordinates):
Cr: 0.000 0.000 0.000
Te: 0.500 0.500 0.500
N: 0.000 0.500 0.000
N: 0.000 0.000 0.500
N: 0.500 0.000 0.000

A relaxed structure of La12CeIn3, computed with PBE-GGA.

- total energy (eV per cell) = -76.6
- formation energy from the elements (eV per atom) = -0.21

Cell lengths 5.076, 5.076, 20.451 Å; angles 90.00, 90.00, 90.00 degrees
Site moments in Bohr magnetons follow the coordinates.
Atoms (fractional coordinates):
La: 0.500 0.500 0.000  0.00
La: 0.500 0.500 0.252  0.00
La: 0.500 0.500 0.500  0.00
La: 0.500 0.500 0.748  0.00
La: 0.500 0.000 0.125  0.00
La: 0.500 0.000 0.376  0.01
La: 0.500 0.000 0.624  0.01
La: 0.500 0.000 0.875  0.00
La: 0.000 0.500 0.125  0.00
La: 0.000 0.500 0.376  0.01
La: 0.000 0.500 0.624  0.01
La: 0.000 0.500 0.875  0.00
Ce: 0.000 0.000 0.000  -0.34
In: 0.000 0.000 0.252  0.00
In: 0.000 0.000 0.500  0.00
In: 0.000 0.000 0.748  0.00

A relaxed structure of Be3Au5, computed with PBE-GGA.

- total energy (eV per cell) = -56.3
- energy above the lowest structure with this stoichiometry (eV/atom) = 0.063
- formation energy from the elements (eV per atom) = -0.07

Cell lengths 5.427, 7.101, 7.101 Å; angles 81.60, 67.53, 67.53 degrees
Atoms (fractional coordinates):
Au: 0.750 0.500 0.500
Au: 0.250 0.500 0.500
Au: 0.424 0.867 0.286
Au: 0.576 0.133 0.714
Au: 0.924 0.286 0.867
Au: 0.076 0.714 0.133
Au: 0.210 0.867 0.714
Au: 0.790 0.133 0.286
Au: 0.290 0.286 0.133
Au: 0.710 0.714 0.867
Be: 0.750 0.000 0.000
Be: 0.250 0.000 0.000
Be: 0.338 0.500 0.824
Be: 0.662 0.500 0.176
Be: 0.838 0.824 0.500
Be: 0.162 0.176 0.500

A relaxed structure of InRuRh2C, computed with PBE-GGA.

- total energy (eV per cell) = -36.2
- formation energy from the elements (eV per atom) = -0.06

Cell lengths 4.126, 4.126, 4.099 Å; angles 90.00, 90.00, 90.00 degrees
Atoms (fractional coordinates):
Ru: 0.000 0.000 0.500
C: 0.000 0.000 0.000
Rh: 0.000 0.500 0.000
Rh: 0.500 0.000 0.000
In: 0.500 0.500 0.500

A relaxed structure of SrSmPdAu, computed with PBE-GGA.

- total energy (eV per cell) = -17.6
- energy above the lowest structure with this stoichiometry (eV/atom) = 0.062
- formation energy from the elements (eV per atom) = -0.67

Cell lengths 5.220, 5.220, 5.220 Å; angles 60.00, 60.00, 60.00 degrees
Atoms (fractional coordinates):
Sr: 0.250 0.250 0.250
Au: 0.000 0.000 0.000
Pd: 0.500 0.500 0.500
Sm: 0.750 0.750 0.750

A relaxed structure of TaFe2Cu2, computed with PBE-GGA.

- total energy (eV per cell) = -71.5
- formation energy from the elements (eV per atom) = 0.24

Cell lengths 7.018, 7.018, 2.661 Å; angles 90.00, 90.00, 90.00 degrees
Site moments in Bohr magnetons follow the coordinates.
Atoms (fractional coordinates):
Fe: 0.381 0.881 0.000  2.24
Fe: 0.881 0.619 0.000  2.21
Fe: 0.619 0.119 0.000  2.24
Fe: 0.119 0.381 0.000  2.21
Cu: 0.176 0.676 0.500  0.07
Cu: 0.676 0.824 0.500  0.07
Cu: 0.824 0.324 0.500  0.07
Cu: 0.324 0.176 0.500  0.07
Ta: 0.000 0.000 0.000  -0.27
Ta: 0.500 0.500 0.000  -0.26

A relaxed structure of ScTc3Os, computed with PBE-GGA.

- total energy (eV per cell) = -38.2
- energy above the lowest structure with this stoichiometry (eV/atom) = 0.919
- formation energy from the elements (eV per atom) = 2.09

Cell lengths 4.441, 4.441, 4.441 Å; angles 90.00, 90.00, 90.00 degrees
Atoms (fractional coordinates):
Sc: 0.000 0.000 0.000
Os: 0.500 0.500 0.500
Tc: 0.000 0.500 0.000
Tc: 0.000 0.000 0.500
Tc: 0.500 0.000 0.000

A relaxed structure of Dy2YInN4, computed with PBE-GGA.

- total energy (eV per cell) = -61.2
- ΔE_f (raw) (meV/atom) = -1192

Cell lengths 3.454, 5.979, 5.975 Å; angles 110.45, 90.00, 90.00 degrees
Atoms (fractional coordinates):
Dy: 0.500 0.000 0.500
Dy: 0.000 0.500 0.500
Y: 0.500 0.500 0.000
In: 0.000 0.000 0.000
N: 0.500 0.249 0.250
N: 0.500 0.751 0.750
N: 0.000 0.256 0.743
N: 0.000 0.744 0.257

A relaxed structure of ReTcNiW, computed with PBE-GGA.

- total energy (eV per cell) = -40.9
- formation energy from the elements (eV per atom) = 0.17

Cell lengths 4.334, 4.334, 4.334 Å; angles 60.00, 60.00, 60.00 degrees
Atoms (fractional coordinates):
Re: 0.750 0.750 0.750
Tc: 0.250 0.250 0.250
W: 0.500 0.500 0.500
Ni: 0.000 0.000 0.000

A relaxed structure of ZnCd2Co2, computed with PBE-GGA.

- total energy (eV per cell) = -30.3
- energy above the lowest structure with this stoichiometry (eV/atom) = 0.240
- formation energy from the elements (eV per atom) = 0.43

Cell lengths 7.821, 7.821, 2.784 Å; angles 90.00, 90.00, 90.00 degrees
Site moments in Bohr magnetons follow the coordinates.
Atoms (fractional coordinates):
Zn: 0.000 0.000 0.000  0.01
Zn: 0.500 0.500 0.000  0.01
Co: 0.102 0.602 0.500  1.53
Co: 0.602 0.898 0.500  1.55
Co: 0.898 0.398 0.500  1.53
Co: 0.398 0.102 0.500  1.55
Cd: 0.312 0.812 0.000  -0.03
Cd: 0.812 0.688 0.000  -0.04
Cd: 0.688 0.188 0.000  -0.03
Cd: 0.188 0.312 0.000  -0.04

A relaxed structure of AcLa2Pm4, computed with PBE-GGA.

- total energy (eV per cell) = -31.6
- energy above the lowest structure with this stoichiometry (eV/atom) = 0.000
- formation energy from the elements (eV per atom) = 0.19

Cell lengths 4.697, 4.697, 12.452 Å; angles 100.87, 100.87, 90.00 degrees
Atoms (fractional coordinates):
Ac: 0.000 0.000 0.000
La: 0.605 0.605 0.210
La: 0.395 0.395 0.790
Pm: 0.142 0.142 0.285
Pm: 0.858 0.858 0.715
Pm: 0.750 0.250 0.500
Pm: 0.250 0.750 0.500

A relaxed structure of LiHoTl, computed with PBE-GGA.

- total energy (eV per cell) = -9.2
- energy above the lowest structure with this stoichiometry (eV/atom) = 0.140
- formation energy from the elements (eV per atom) = -0.13

Cell lengths 3.663, 3.663, 6.026 Å; angles 107.69, 107.69, 90.00 degrees
Site moments in Bohr magnetons follow the coordinates.
Atoms (fractional coordinates):
Tl: 0.928 0.928 0.856  0.00
Ho: 0.615 0.615 0.230  0.17
Li: 0.307 0.307 0.614  0.01

A relaxed structure of LiAcSi2Pt, computed with PBE-GGA.

- total energy (eV per cell) = -26.9
- ΔE_f (raw) (meV/atom) = -795

Cell lengths 4.340, 4.340, 5.976 Å; angles 111.29, 111.29, 90.00 degrees
Atoms (fractional coordinates):
Li: 0.750 0.250 0.500
Ac: 0.000 0.000 0.000
Si: 0.620 0.620 0.240
Si: 0.380 0.380 0.760
Pt: 0.250 0.750 0.500

A relaxed structure of LiMgPS2, computed with PBE-GGA.

- total energy (eV per cell) = -16.1
- energy above the lowest structure with this stoichiometry (eV/atom) = 0.052
- ΔE_f (raw) (meV/atom) = 207

Cell lengths 4.652, 4.652, 4.143 Å; angles 90.00, 90.00, 90.00 degrees
Atoms (fractional coordinates):
P: 0.000 0.000 0.500
S: 0.000 0.500 0.000
S: 0.500 0.000 0.000
Mg: 0.500 0.500 0.500
Li: 0.000 0.000 0.000